Entry 1:
DFT (PBE) results for a relaxed structure of CrTc2Se.

## Properties
- raw total energy (eV per atom) = -8.244
- crystal system = orthorhombic
- formation energy without anion corrections (eV/atom) = 0.22

Cell: 3.811 5.508 5.508 Å, 30.89 90.00 90.00°
Fractional positions:
Cr 0.000 0.000 0.000
Tc 0.000 0.748 0.748
Tc 0.500 0.360 0.360
Se 0.500 0.589 0.589

---

Entry 2:
DFT (PBE) results for a relaxed structure of CrTcSe4.

## Properties
- raw total energy (eV per atom) = -4.482
- crystal system = cubic
- formation energy without anion corrections (eV/atom) = 1.17

Cell: 5.684 5.684 5.684 Å, 60.00 60.00 60.00°
Fractional positions:
Cr 0.000 0.000 0.000
Tc 0.250 0.250 0.250
Se 0.125 0.625 0.625
Se 0.625 0.125 0.625
Se 0.625 0.625 0.125
Se 0.625 0.625 0.625

---

Entry 3:
DFT (PBE) results for a relaxed structure of CrTc2Se.

## Properties
- raw total energy (eV per atom) = -8.267
- crystal system = orthorhombic
- formation energy without anion corrections (eV/atom) = 0.19

Cell: 5.076 5.076 5.076 Å, 146.15 129.47 62.22°
Fractional positions:
Cr 0.000 0.000 0.000
Tc 0.455 0.455 0.000
Tc 0.729 0.229 0.500
Se 0.219 0.719 0.500

---

Entry 4:
DFT (PBE) results for a relaxed structure of VCrTc2Se.

## Properties
- raw total energy (eV per atom) = -7.434
- crystal system = tetragonal
- formation energy without anion corrections (eV/atom) = 1.16

Cell: 4.481 4.481 4.311 Å, 90.00 90.00 90.00°
Fractional positions:
V 0.000 0.000 0.000
Cr 0.000 0.000 0.500
Tc 0.000 0.500 0.500
Tc 0.500 0.000 0.500
Se 0.500 0.500 0.000

---

Entry 5:
DFT (PBE) results for a relaxed structure of CrTeSe2.

## Properties
- raw total energy (eV per atom) = -5.073
- crystal system = monoclinic
- formation energy without anion corrections (eV/atom) = -0.14

Cell: 5.143 3.525 5.377 Å, 90.00 108.92 90.00°
Fractional positions:
Cr 0.000 0.000 0.000
Te 0.000 0.000 0.500
Se 0.365 0.500 0.155
Se 0.635 0.500 0.845

---

Entry 6:
DFT (PBE) results for a relaxed structure of CrTeSe2.

## Properties
- raw total energy (eV per atom) = -4.705
- crystal system = tetragonal
- formation energy without anion corrections (eV/atom) = 0.23

Cell: 7.475 7.475 7.475 Å, 150.19 150.19 42.67°
Fractional positions:
Cr 0.000 0.000 0.000
Te 0.750 0.250 0.500
Se 0.250 0.750 0.500
Se 0.500 0.500 0.000

---

Entry 7:
DFT (PBE) results for a relaxed structure of CrTeSe.

## Properties
- raw total energy (eV per atom) = -5.469
- relative energy among the computed polymorphs (eV/atom) = 0.284
- crystal system = cubic
- formation energy without anion corrections (eV/atom) = -0.05

Cell: 4.585 4.585 4.585 Å, 60.00 60.00 60.00°
Fractional positions:
Cr 0.000 0.000 0.000
Te 0.750 0.750 0.750
Se 0.250 0.250 0.250

---

Entry 8:
DFT (PBE) results for a relaxed structure of CrTeSe2.

## Properties
- raw total energy (eV per atom) = -4.897
- crystal system = tetragonal
- formation energy without anion corrections (eV/atom) = 0.04

Cell: 4.955 4.955 4.955 Å, 110.79 110.79 106.87°
Fractional positions:
Cr 0.000 0.000 0.000
Te 0.500 0.500 0.000
Se 0.000 0.500 0.500
Se 0.500 0.000 0.500